A plane-wave DFT calculation with GGA-PBE was carried out for a relaxed Na5HBr4 crystal.

Cell: 17.0367 17.0367 17.0367 Å, 13.97 13.97 13.97°
With the nearest neighbours (Å) after each atom.
Element x y z (fractional)
Na 0.0000 0.0000 0.0000  6 Br 2.98
Na 0.1928 0.1928 0.1928  3 H 2.73, 3 Br 2.97
Na 0.4038 0.4038 0.4038  6 Br 2.98
Na 0.5962 0.5962 0.5962  6 Br 2.98
Na 0.8072 0.8072 0.8072  3 H 2.73, 3 Br 2.97
H 0.5000 0.5000 0.5000  6 Na 2.73
Br 0.1056 0.1056 0.1056  6 Na 2.97-2.98
Br 0.2981 0.2981 0.2981  6 Na 2.98
Br 0.7019 0.7019 0.7019  6 Na 2.98
Br 0.8944 0.8944 0.8944  6 Na 2.97-2.98

Results
- offset from the most stable computed form (kJ/mol of formula units) = 0
- M_tot (μB per atom) = 0.000
- raw total energy (eV per cell) = -29.2
- Fermi-level density of states (states/eV/f.u.) = 0.00
- space group = R-3m

---

A plane-wave DFT calculation with GGA-PBE was carried out for a relaxed Sr2HfCu2O6 crystal.

Cell: 6.3738 6.3738 6.3738 Å, 55.30 55.30 55.30°
With the nearest neighbours (Å) after each atom.
Element x y z (fractional)
Sr 0.2121 0.2121 0.2121  3 O 2.59
Sr 0.7879 0.7879 0.7879  3 O 2.59
Hf 0.0000 0.0000 0.0000  6 O 2.08
Cu 0.4181 0.4181 0.4181  3 O 1.85
Cu 0.5819 0.5819 0.5819  3 O 1.85
O 0.2214 0.7625 0.7625  1 Cu 1.85
O 0.2375 0.2375 0.7786  1 Cu 1.85
O 0.2375 0.7786 0.2375  1 Cu 1.85
O 0.7625 0.2214 0.7625  1 Cu 1.85
O 0.7625 0.7625 0.2214  1 Cu 1.85
O 0.7786 0.2375 0.2375  1 Cu 1.85

Results
- ΔE_f (raw) (eV per atom) = -2.074
- M_tot (μB per atom) = 0.185
- raw total energy (eV per cell) = -74.1
- Fermi-level density of states (states/eV/f.u.) = 3.67
- space group = R-3m

---

A plane-wave DFT calculation with GGA-PBE was carried out for a relaxed CeDy2Ho3Te6 crystal.

Cell: 9.7783 9.7783 8.7987 Å, 103.31 103.31 25.63°
With the nearest neighbours (Å) after each atom.
Element x y z (fractional)
Ce 0.0000 0.0000 0.0000  6 Te 3.15-3.17
Dy 0.3365 0.3365 0.6723  6 Te 3.04-3.12
Dy 0.6635 0.6635 0.3277  6 Te 3.04-3.12
Ho 0.0000 0.0000 0.5000  6 Te 3.03-3.11
Ho 0.3361 0.3361 0.1670  6 Te 3.03-3.10
Ho 0.6639 0.6639 0.8330  6 Te 3.03-3.10
Te 0.1679 0.1679 0.5835  3 Ho 3.10-3.11, 3 Dy 3.11-3.12
Te 0.1711 0.1711 0.0835  3 Ho 3.06-3.07, 2 Dy 3.08, 1 Ce 3.17
Te 0.4997 0.4997 0.2589  3 Ho 3.03, 1 Dy 3.04, 2 Ce 3.15
Te 0.5003 0.5003 0.7411  3 Ho 3.03, 1 Dy 3.04, 2 Ce 3.15
Te 0.8289 0.8289 0.9165  3 Ho 3.06-3.07, 2 Dy 3.08, 1 Ce 3.17
Te 0.8321 0.8321 0.4165  3 Ho 3.10-3.11, 3 Dy 3.11-3.12

Results
- ΔE_f (raw) (eV per atom) = -1.281
- M_tot (μB per atom) = 0.110
- raw total energy (eV per cell) = -63.1
- Fermi-level density of states (states/eV/f.u.) = 12.16
- space group = C2/m

---

A plane-wave DFT calculation with GGA-PBE was carried out for a relaxed NdTl2Rh crystal.

Cell: 3.4040 3.4040 31.7015 Å, 90.00 90.00 120.00°
With the nearest neighbours (Å) after each atom.
Element x y z (fractional)
Nd 0.0000 0.0000 0.0000  2 Tl 3.25, 6 Nd 3.40
Nd 0.3333 0.6667 0.6667  2 Tl 3.25, 6 Nd 3.40
Nd 0.6667 0.3333 0.3333  2 Tl 3.25, 6 Nd 3.40
Tl 0.0000 0.0000 0.1025  3 Rh 2.83
Tl 0.0000 0.0000 0.8975  3 Rh 2.83
Tl 0.3333 0.6667 0.5641  3 Rh 2.83
Tl 0.3333 0.6667 0.7692  3 Rh 2.83
Tl 0.6667 0.3333 0.2308  3 Rh 2.83
Tl 0.6667 0.3333 0.4359  3 Rh 2.83
Rh 0.0000 0.0000 0.5000  6 Tl 2.83
Rh 0.3333 0.6667 0.1667  6 Tl 2.83
Rh 0.6667 0.3333 0.8333  6 Tl 2.83

Results
- M_tot (μB per atom) = 0.000
- raw total energy (eV per cell) = -48.1
- Fermi-level density of states (states/eV/f.u.) = 4.19
- DFT formation energy (eV per atom) = 0.21
- space group = R-3m